[1]
Material: Li2AsOs
Method: DFT, GGA-PBE
State: relaxed

## Properties
E above lowest polymorph (meV/atom): 113.5

Cell lengths 5.0820, 5.0820, 4.0119 Å; angles 67.00, 67.00, 35.85 degrees
Element x y z (fractional)
1 Li 0.4956 0.4956 0.5043
2 Li 0.0044 0.0044 0.9957
3 As 0.7500 0.7500 0.7500
4 Os 0.2500 0.2500 0.2500

---

[2]
Material: Li2AsOs
Method: DFT, GGA-PBE
State: relaxed

## Properties
E above lowest polymorph (meV/atom): 404.2

Cell lengths 4.1633, 4.1633, 4.1633 Å; angles 60.00, 60.00, 60.00 degrees
Element x y z (fractional)
1 As 0.0000 0.0000 0.0000
2 Li 0.2500 0.2500 0.2500
3 Li 0.7500 0.7500 0.7500
4 Os 0.5000 0.5000 0.5000

---

[3]
Material: LiAsOs4
Method: DFT, GGA-PBE
State: relaxed

Cell lengths 5.1868, 5.1868, 5.1868 Å; angles 60.00, 60.00, 60.00 degrees
Element x y z (fractional)
1 Os 0.3751 0.3751 0.3751
2 Os 0.8747 0.3751 0.3751
3 Os 0.3751 0.8747 0.3751
4 Os 0.3751 0.3751 0.8747
5 As 0.7500 0.7500 0.7500
6 Li 0.0000 0.0000 0.0000

---

[4]
Material: LiAs2Os
Method: DFT, GGA-PBE
State: relaxed

## Properties
E above lowest polymorph (meV/atom): 128.6

Cell lengths 4.7726, 3.0994, 4.6542 Å; angles 70.54, 90.00, 90.00 degrees
Element x y z (fractional)
1 As 0.0000 0.8206 0.9827
2 As 0.5000 0.2060 0.2137
3 Li 0.0000 0.5453 0.5344
4 Os 0.5000 0.9280 0.7692

---

[5]
Material: LiAs2Os
Method: DFT, GGA-PBE
State: relaxed

## Properties
E above lowest polymorph (meV/atom): 304.1

Cell lengths 4.1507, 4.5368, 3.2226 Å; angles 90.00, 90.00, 90.00 degrees
Element x y z (fractional)
1 As 0.5000 0.5000 0.0000
2 As 0.0000 0.0000 0.0000
3 Li 0.5000 0.0000 0.5000
4 Os 0.0000 0.5000 0.5000

---

[6]
Material: LiAsOs
Method: DFT, GGA-PBE
State: relaxed

Cell lengths 2.9591, 2.9591, 6.2434 Å; angles 90.00, 90.00, 120.00 degrees
Element x y z (fractional)
1 Li 0.6667 0.3333 0.3383
2 As 0.0000 0.0000 0.9743
3 Os 0.3333 0.6667 0.6875

---

[7]
Material: Li2AsOs
Method: DFT, GGA-PBE
State: relaxed

## Properties
E above lowest polymorph (meV/atom): 174.0

Cell lengths 2.6270, 2.6270, 8.4278 Å; angles 90.00, 90.00, 90.00 degrees
Site moments in Bohr magnetons follow the coordinates.
Element x y z (fractional)
1 Li 0.0000 0.0000 0.5055  0.00
2 Li 0.0000 0.0000 0.9945  0.00
3 As 0.5000 0.5000 0.7500  0.00
4 Os 0.5000 0.5000 0.2500  0.22

---

[8]
Material: LiAs2Os
Method: DFT, GGA-PBE
State: relaxed

## Properties
E above lowest polymorph (meV/atom): 222.9

Cell lengths 5.9997, 5.9997, 6.8282 Å; angles 63.94, 63.94, 90.00 degrees
Element x y z (fractional)
1 Os 0.7500 0.2500 0.5000
2 Os 0.0000 0.0000 0.0000
3 Li 0.2500 0.7500 0.5000
4 Li 0.5000 0.5000 0.0000
5 As 0.6723 0.1250 0.2500
6 As 0.3750 0.3277 0.7500
7 As 0.0777 0.6250 0.2500
8 As 0.8750 0.9223 0.7500

---

[9]
Material: LiAs2Os
Method: DFT, GGA-PBE
State: relaxed

## Properties
E above lowest polymorph (meV/atom): 349.4

Cell lengths 5.0156, 5.0156, 5.0156 Å; angles 135.81, 135.81, 64.28 degrees
Element x y z (fractional)
1 Li 0.5000 0.5000 0.0000
2 As 0.2500 0.7500 0.5000
3 As 0.0000 0.0000 0.0000
4 Os 0.7500 0.2500 0.5000

---

[10]
Material: LiAsOs
Method: DFT, GGA-PBE
State: relaxed

Cell lengths 4.1392, 4.1392, 3.0592 Å; angles 90.00, 90.00, 120.00 degrees
Element x y z (fractional)
1 Li 0.3333 0.6667 0.3330
2 As 0.0000 0.0000 0.8336
3 Os 0.6667 0.3333 0.8334

---

[11]
Material: Li2AsOs
Method: DFT, GGA-PBE
State: relaxed

## Properties
E above lowest polymorph (meV/atom): 53.8

Cell lengths 4.2051, 4.2051, 4.2051 Å; angles 60.00, 60.00, 60.00 degrees
Element x y z (fractional)
1 Li 0.7500 0.7500 0.7500
2 Li 0.0000 0.0000 0.0000
3 As 0.5000 0.5000 0.5000
4 Os 0.2500 0.2500 0.2500

---

[12]
Material: LiAs2Os
Method: DFT, GGA-PBE
State: relaxed

## Properties
E above lowest polymorph (meV/atom): 408.9

Cell lengths 2.7952, 2.7952, 9.6724 Å; angles 90.00, 90.00, 115.54 degrees
Element x y z (fractional)
1 Li 0.0000 0.0000 0.5138
2 As 0.5000 0.5000 0.2857
3 As 0.0000 0.0000 0.9543
4 Os 0.5000 0.5000 0.7462

---

| no. | formation energy from the elements (eV/atom) | uncorrected energy (eV per atom) |
| --- | --- | --- |
| 1 | -0.019 | -4.946 |
| 2 | 0.272 | -4.655 |
| 3 | 0.754 | -7.826 |
| 4 | 0.000 | -5.611 |
| 5 | 0.175 | -5.435 |
| 6 | 0.135 | -5.796 |
| 7 | 0.041 | -4.885 |
| 8 | 0.094 | -5.517 |
| 9 | 0.221 | -5.390 |
| 10 | 0.021 | -5.910 |
| 11 | -0.079 | -5.005 |
| 12 | 0.280 | -5.331 |